VASP calculation (GGA-PBE) on a relaxed structure of PuTl2I4F2.

Output
uncorrected formation energy = -1.45 eV/atom
DFT total energy = -4.67 eV per atom
DOS(E_F) = 0.637 states/eV per atom

a = 12.6682 Å, b = 8.5055 Å, c = 6.2508 Å
α = 90.00°, β = 92.25°, γ = 90.00°
Last column: nearest neighbours and their distance in Å.
Space group C2/m (No. 12)
Asymmetric unit:
Pu: 0.0000 0.0000 0.0000 [2 per cell]  2 F 2.04
Tl: 0.1500 0.5000 0.7795 [4 per cell]  6 I 3.57-3.94, 1 F 3.99
I: 0.1242 0.2578 0.2419 [8 per cell]  1 Pu 3.06
F: 0.1141 0.0000 0.7784 [4 per cell]  1 Pu 2.04